(1)
DFT (GGA-PBE) results for a geometry-optimized Bi4S5O structure.

Structure (extended XYZ):
```
10
Lattice="3.953 0.000 0.000 0.000 7.489 -0.491 -1.976 -1.526 8.952" Properties=species:S:1:pos:R:3 pbc="T T T"
S 1.976 0.489 5.584
S 0.000 5.474 2.877
S 0.000 1.960 2.562
S 1.976 4.003 5.900
S 1.976 3.745 -0.246
O 1.976 0.000 0.000
Bi 0.000 1.744 0.038
Bi 0.000 5.977 5.448
Bi 1.976 4.219 8.423
Bi 1.976 -0.014 3.013
```

Computed properties:
- Magnetic moment: 0.00 μB/f.u.
- Density of states at the Fermi level: 0.23 states/eV/atom
- E_tot: -4.44 eV/atom
- Energy relative to the elements, uncorrected: -0.327 eV/atom

---

(2)
DFT (GGA-PBE) results for a geometry-optimized Bi2S3O12 structure.

Structure (extended XYZ):
```
34
Lattice="9.435 -0.003 0.004 6.934 6.399 0.004 1.673 0.654 8.350" Properties=species:S:1:pos:R:3 pbc="T T T"
O 11.951 2.858 3.465
O 13.225 4.690 5.610
O 14.964 6.444 5.527
O 4.817 2.360 2.748
O 6.483 0.722 0.719
O 6.091 4.191 4.894
O 11.559 6.328 7.640
O 10.745 3.704 6.343
O 9.122 4.901 5.045
O 7.297 3.345 2.016
O 3.095 2.338 1.116
O 5.977 1.858 6.923
O 3.510 1.968 7.006
O 12.065 5.192 1.435
O 9.192 2.255 0.870
O 9.574 4.235 2.167
O 14.532 5.081 1.352
O 3.078 0.606 2.831
O 4.696 0.707 5.291
O 13.346 6.343 3.068
O 8.850 4.794 7.489
O 8.468 2.815 6.191
O 14.947 4.712 7.243
O 8.920 2.149 3.314
Bi 6.937 1.897 4.661
Bi 11.105 5.152 3.697
Bi 5.549 2.981 0.486
Bi 12.493 4.068 7.872
S 13.357 5.952 1.610
S 14.691 5.007 5.785
S 3.352 2.043 2.573
S 4.685 1.097 6.748
S 9.291 4.069 6.267
S 8.751 2.981 2.092
```

Computed properties:
- Magnetic moment: 0.00 μB/f.u.
- Density of states at the Fermi level: 0.00 states/eV/atom
- E_tot: -6.05 eV/atom
- Energy relative to the elements, uncorrected: -1.366 eV/atom

---

(3)
DFT (GGA-PBE) results for a geometry-optimized BiSO3 structure.

Structure (extended XYZ):
```
5
Lattice="3.917 0.000 0.000 0.000 3.917 0.000 0.000 0.000 3.917" Properties=species:S:1:pos:R:3 pbc="T T T"
S 0.000 0.000 0.000
O 0.000 1.958 0.000
O 0.000 0.000 1.958
O 1.958 0.000 0.000
Bi 1.958 1.958 1.958
```

Computed properties:
- Magnetic moment: 0.00 μB/f.u.
- Density of states at the Fermi level: 0.63 states/eV/atom
- E_tot: -4.79 eV/atom
- Energy relative to the elements, uncorrected: -0.217 eV/atom

---

(4)
DFT (GGA-PBE) results for a geometry-optimized Bi4SO5 structure.

Structure (extended XYZ):
```
20
Lattice="-5.063 1.446 3.629 -3.560 -6.067 -2.549 3.176 -4.474 6.213" Properties=species:S:1:pos:R:3 pbc="T T T"
O 1.133 -2.107 3.433
O -3.817 -1.866 3.911
O 0.459 -4.632 5.262
O -6.388 -1.718 2.028
O -2.539 -3.667 6.411
O -4.199 -6.496 5.223
O -5.477 -4.695 2.722
O -3.338 -5.197 0.189
O -1.438 -1.959 1.550
O -1.441 -7.870 3.902
Bi 0.113 -2.623 6.084
Bi -5.957 -5.256 4.789
Bi -0.938 -1.364 -0.503
Bi -3.932 -3.226 2.188
Bi -1.323 -0.599 3.273
Bi -2.858 -4.635 -1.877
Bi -2.193 -5.676 5.590
Bi -4.317 -2.461 5.963
S -3.148 0.899 2.256
S -2.107 -4.724 3.205
```

Computed properties:
- Magnetic moment: 0.00 μB/f.u.
- E_tot: -5.39 eV/atom
- Energy relative to the elements, uncorrected: -0.947 eV/atom

---

(5)
DFT (GGA-PBE) results for a geometry-optimized BiSO3 structure.

Structure (extended XYZ):
```
5
Lattice="4.213 0.000 0.000 0.000 4.213 0.000 0.000 0.000 4.213" Properties=species:S:1:pos:R:3 pbc="T T T"
O 2.107 0.000 0.000
O 0.000 0.000 2.107
O 0.000 2.107 0.000
Bi 0.000 0.000 0.000
S 2.107 2.107 2.107
```

Computed properties:
- Magnetic moment: 2.75 μB/f.u.
- Density of states at the Fermi level: 0.79 states/eV/atom
- E_tot: -4.31 eV/atom
- Energy relative to the elements, uncorrected: 0.265 eV/atom

---

(6)
DFT (GGA-PBE) results for a geometry-optimized Sc3BiSO structure.

Structure (extended XYZ):
```
12
Lattice="3.797 0.000 0.000 0.000 8.094 0.597 0.000 -2.499 8.041" Properties=species:S:1:pos:R:3 pbc="T T T"
Sc 0.949 5.586 4.385
Sc 2.847 6.698 1.744
Sc 2.847 3.164 1.342
Sc 2.847 0.009 4.253
Sc 0.949 -1.103 6.894
Sc 0.949 2.430 7.296
S 2.847 0.732 6.829
S 0.949 4.863 1.808
Bi 0.949 0.927 1.911
Bi 2.847 4.667 6.727
O 0.949 -0.721 4.813
O 2.847 6.316 3.825
```

Computed properties:
- Magnetic moment: 0.00 μB/f.u.
- Density of states at the Fermi level: 0.39 states/eV/atom
- E_tot: -7.08 eV/atom
- Energy relative to the elements, uncorrected: -1.753 eV/atom

---

(7)
DFT (GGA-PBE) results for a geometry-optimized Bi2SeSO structure.

Structure (extended XYZ):
```
10
Lattice="4.056 0.000 0.000 -2.028 7.381 0.344 0.000 -1.298 8.690" Properties=species:S:1:pos:R:3 pbc="T T T"
Bi 2.028 5.148 0.821
Bi 0.000 4.030 6.204
Bi 0.000 0.934 8.213
Bi 2.028 2.052 2.829
O 0.000 3.284 8.391
O 2.028 2.799 0.643
Se 2.028 1.804 5.974
Se 0.000 4.279 3.059
S 0.000 0.473 1.823
S 2.028 5.609 7.210
```

Computed properties:
- Magnetic moment: 0.00 μB/f.u.
- E_tot: -4.71 eV/atom
- Energy relative to the elements, uncorrected: -0.642 eV/atom

---

(8)
DFT (GGA-PBE) results for a geometry-optimized SiBi2SO structure.

Structure (extended XYZ):
```
5
Lattice="5.608 0.000 0.000 0.000 3.390 0.000 0.000 0.000 5.608" Properties=species:S:1:pos:R:3 pbc="T T T"
Bi 2.804 0.000 0.000
Bi 0.000 0.000 2.804
O 0.000 1.695 0.000
Si 0.000 0.000 0.000
S 2.804 1.695 2.804
```

Computed properties:
- Magnetic moment: 0.00 μB/f.u.
- Density of states at the Fermi level: 0.49 states/eV/atom
- E_tot: -4.70 eV/atom
- Energy relative to the elements, uncorrected: -0.243 eV/atom